RbNdP2O8 | GGA-PBE | relaxed

Calculated total energy ... -6.9474 eV per atom
Density of states at the Fermi level ... 11.48 states/eV/cell
E_form (uncorrected) ... -2.26 eV/atom
Crystal system ... trigonal

a b c (Å): 5.7184 5.7184 8.2697
angles (deg): 90.00 90.00 120.00
Fractional positions:
Rb 0.0000 0.0000 0.0000
Nd 0.0000 0.0000 0.5000
P 0.3333 0.6667 0.7364
P 0.6667 0.3333 0.2636
O 0.1822 0.3718 0.6760
O 0.1896 0.8178 0.6760
O 0.3333 0.6667 0.9238
O 0.3718 0.1896 0.3240
O 0.6282 0.8104 0.6760
O 0.6667 0.3333 0.0762
O 0.8104 0.1822 0.3240
O 0.8178 0.6282 0.3240